This record from the Alexandria database describes crystalline Tb2ThAlC at its relaxed geometry. The functional is PBE.

Summary:
ΔE_f   -30.69 kJ/mol of atoms
Raw total energy   -0.2296 Ha/atom
N(E_F)   0.529 states/eV per atom

Cell and atoms, written as CIF:
```
data_Tb2ThAlC
_cell_length_a 4.932
_cell_length_b 4.932
_cell_length_c 5.022
_cell_angle_alpha 90.00
_cell_angle_beta 90.00
_cell_angle_gamma 90.00
_symmetry_space_group_name_H-M 'P 4/m m m'
_symmetry_Int_Tables_number 123
_symmetry_space_group_name_Hall '-P 4 2'
loop_
_atom_site_label
_atom_site_type_symbol
_atom_site_fract_x
_atom_site_fract_y
_atom_site_fract_z
Tb1 Tb 0.000 0.500 0.000
Th1 Th 0.000 0.000 0.500
Al1 Al 0.500 0.500 0.500
C1 C 0.000 0.000 0.000
```